No. 1
## NiHgMoPt2 (GGA-PBE)

Data for a relaxed structure of NiHgMoPt2.

Cell and atoms, written as CIF:
```
data_NiHgMoPt2
_chemical_formula_sum 'Ni1 Hg1 Mo1 Pt2'
_cell_length_a 4.790
_cell_length_b 4.790
_cell_length_c 5.242
_cell_angle_alpha 90.00
_cell_angle_beta 90.00
_cell_angle_gamma 90.00
_space_group_name_H-M_alt 'P 4/m m m'
_space_group_IT_number 123
_space_group_name_Hall '-P 4 2'
loop_
_atom_site_label
_atom_site_type_symbol
_atom_site_fract_x
_atom_site_fract_y
_atom_site_fract_z
_atom_site_occupancy
Ni1 Ni 0.000 0.000 0.000 1
Hg1 Hg 0.500 0.500 0.000 1
Mo1 Mo 0.500 0.500 0.500 1
Pt1 Pt 0.000 0.500 0.500 1
```

Output
**Formation enthalpy at 0 K**: 1440 meV/atom
**E**: -4.36 eV/atom
**N(E_F)**: 7.28 states/eV/cell

No. 2
## ReNiHg2Mo (GGA-PBE)

Data for a relaxed structure of ReNiHg2Mo.

Cell and atoms, written as CIF:
```
data_ReNiHg2Mo
_chemical_formula_sum 'Re1 Ni1 Hg2 Mo1'
_cell_length_a 5.262
_cell_length_b 5.262
_cell_length_c 4.420
_cell_angle_alpha 90.00
_cell_angle_beta 90.00
_cell_angle_gamma 90.00
_space_group_name_H-M_alt 'P 4/m m m'
_space_group_IT_number 123
_space_group_name_Hall '-P 4 2'
loop_
_atom_site_label
_atom_site_type_symbol
_atom_site_fract_x
_atom_site_fract_y
_atom_site_fract_z
_atom_site_occupancy
Re1 Re 0.000 0.000 0.000 1
Ni1 Ni 0.500 0.500 0.000 1
Hg1 Hg 0.000 0.500 0.500 1
Mo1 Mo 0.500 0.500 0.500 1
```

Output
**Formation enthalpy at 0 K**: 2107 meV/atom
**E**: -3.83 eV/atom
**N(E_F)**: 5.51 states/eV/cell

No. 3
## NiHgMo2S (GGA-PBE)

Data for a relaxed structure of NiHgMo2S.

Cell and atoms, written as CIF:
```
data_NiHgMo2S
_chemical_formula_sum 'Ni1 Hg1 Mo2 S1'
_cell_length_a 4.788
_cell_length_b 4.788
_cell_length_c 3.965
_cell_angle_alpha 90.00
_cell_angle_beta 90.00
_cell_angle_gamma 90.00
_space_group_name_H-M_alt 'P 4/m m m'
_space_group_IT_number 123
_space_group_name_Hall '-P 4 2'
loop_
_atom_site_label
_atom_site_type_symbol
_atom_site_fract_x
_atom_site_fract_y
_atom_site_fract_z
_atom_site_occupancy
Ni1 Ni 0.000 0.000 0.000 1
Hg1 Hg 0.500 0.500 0.500 1
Mo1 Mo 0.000 0.500 0.000 1
S1 S 0.000 0.000 0.500 1
```

Output
**E**: -5.21 eV/atom
**N(E_F)**: 7.02 states/eV/cell